(1)
A plane-wave DFT calculation with SCAN was carried out for a crystal of CrMoO3 relaxed with PBEsol.

a = 3.7456 Å, b = 3.7456 Å, c = 3.7456 Å
α = 74.74°, β = 74.74°, γ = 74.74°
Last column: nearest neighbours and their distance in Å.
Fractional coordinates of all 5 atoms:
Cr1 0.0000 0.0000 0.0000  6 O 1.97-2.03
Mo1 0.6509 0.6509 0.6509  6 O 2.02-2.04
O1 0.1450 0.8394 0.4961  2 Cr 1.97-2.03, 2 Mo 2.02-2.04
O2 0.4961 0.1450 0.8394  2 Cr 1.97-2.03, 2 Mo 2.02-2.04
O3 0.8394 0.4961 0.1450  2 Cr 1.97-2.03, 2 Mo 2.02-2.04

- Formation energy (no corrections): -1.688 eV/atom
- SG: R3 (146)

(2)
A plane-wave DFT calculation with SCAN was carried out for a crystal of Cr2MoOs relaxed with PBEsol.

a = 4.8728 Å, b = 4.8728 Å, c = 4.8728 Å
α = 144.34°, β = 128.09°, γ = 64.57°
Last column: nearest neighbours and their distance in Å.
Fractional coordinates of all 4 atoms:
Cr1 0.2407 0.2407 0.0000  2 Mo 2.48, 2 Os 2.61, 4 Cr 2.61
Cr2 0.7593 0.7593 0.0000  2 Mo 2.48, 2 Os 2.61, 4 Cr 2.61
Mo1 0.0000 0.5000 0.5000  4 Cr 2.48, 4 Os 2.60
Os1 0.5000 0.0000 0.5000  4 Mo 2.60, 8 Cr 2.61-2.91

- SG: Immm (71)
- ΔE_f: 12.11 kJ/mol of atoms
- Energy relative to the lowest polymorph listed for this composition: 73.8 meV per atom

(3)
A plane-wave DFT calculation with SCAN was carried out for a crystal of Cr2MoOs relaxed with PBEsol.

a = 4.1838 Å, b = 4.1838 Å, c = 4.1838 Å
α = 60.00°, β = 60.00°, γ = 60.00°
Last column: nearest neighbours and their distance in Å.
Fractional coordinates of all 4 atoms:
Cr1 0.2500 0.2500 0.2500  4 Mo 2.56, 4 Os 2.56
Cr2 0.7500 0.7500 0.7500  4 Mo 2.56, 4 Os 2.56
Mo1 0.0000 0.0000 0.0000  8 Cr 2.56
Os1 0.5000 0.5000 0.5000  8 Cr 2.56

- SG: Fm-3m (225)
- ΔE_f: 5.85 kJ/mol of atoms
- Energy relative to the lowest polymorph listed for this composition: 8.9 meV per atom

Ordered energy results: -16.08, -35.76, -35.82; unit eV per atom.
Ordered magnetic moment results: 0.00, 0.00, 0.00; unit μB per formula unit.